The following is a PBE-GGA calculation of an optimized crystal structure of AlH2SeO, from the Alexandria database.

Cell: 3.3093 3.3093 7.0866 Å, 90.00 90.00 90.00°
Atoms (fractional coordinates):
Al: 0.0000 0.0000 0.0000
H: 0.0000 0.5000 0.5000
H: 0.5000 0.0000 0.5000
Se: 0.5000 0.5000 0.0000
O: 0.5000 0.5000 0.5000

Output
space group	No. 123
calculated total energy	-17.10	eV per formula unit